{
  "formula": "KB2MoO6",
  "functional": "GGA+U",
  "state": "optimized geometry",
  "cell": [[-2.304, -3.698, -2.703], [2.413, -4.446, -0.838], [-2.234, -4.866, 3.699]],
  "species": ["B", "B", "O", "O", "O", "O", "O", "O", "Mo", "K"],
  "frac_coords": [[0.770, 0.770, 0.689], [0.230, 0.230, 0.311], [0.927, 0.433, 0.302], [0.662, 0.073, 0.698], [0.073, 0.567, 0.698], [0.567, 0.662, 0.698], [0.338, 0.927, 0.302], [0.433, 0.338, 0.302], [0.500, 0.500, 0.500], [0.000, 0.000, 0.000]],
  "magnetic_moment_mub_per_fu": 1.000,
  "final_energy_ev_per_atom": -7.236
}